Entry i
The following is a DFT calculation (PBE) of AlCuPd after structural relaxation.

Results
Total moment in μB per cell: 0.00

Geometry as POSCAR:
```
AlCuPd
1.0
4.335 0.000 0.000
-2.167 4.325 0.000
-0.007 -2.595 4.441
Al Cu Pd
2 2 2
direct
0.175 0.349 0.266
0.825 0.651 0.734
0.489 0.980 0.743
0.511 0.020 0.257
0.174 0.348 0.766
0.826 0.652 0.234
```

---

Entry ii
The following is a DFT calculation (PBE) of AlCuPd after structural relaxation.

Results
Total moment in μB per cell: 0.00

Geometry as POSCAR:
```
AlCuPd
1.0
-1.535 1.535 4.386
1.535 -1.535 4.386
1.535 1.535 -4.386
Al Cu Pd
1 1 1
direct
0.000 0.000 0.000
0.655 0.655 0.000
0.338 0.338 0.000
```

---

Order of stability, best first: entry ii, entry i